Computed, not measured: a geometry-optimized YWBrO4 structure at the PBE with a Hubbard U level of DFT.

The structure in CIF format:
```
data_YWBrO4
_chemical_formula_sum 'Y4 W4 Br4 O16'
_symmetry_space_group_name_H-M 'P -1'
_symmetry_Int_Tables_number 2
_symmetry_space_group_name_Hall '-P 1'
_cell_length_a 7.083
_cell_length_b 7.376
_cell_length_c 11.058
_cell_angle_alpha 74.27
_cell_angle_beta 71.48
_cell_angle_gamma 84.92
loop_
_atom_site_label
_atom_site_type_symbol
_atom_site_fract_x
_atom_site_fract_y
_atom_site_fract_z
Y1 Y 0.061 0.096 0.271
Y2 Y 0.394 0.665 0.234
W1 W 0.137 0.419 0.625
W2 W 0.410 0.817 0.867
Br1 Br 0.209 0.272 0.988
Br2 Br 0.253 0.026 0.481
O1 O 0.031 0.613 0.695
O2 O 0.049 0.776 0.294
O3 O 0.208 0.890 0.798
O4 O 0.212 0.504 0.445
O5 O 0.309 0.741 0.044
O6 O 0.361 0.352 0.669
O7 O 0.405 0.989 0.193
O8 O 0.459 0.375 0.198
```

Output
As for the distance to the lowest polymorph of the same formula: 0 meV per atom. Its size of the total moment is 0.00 μB per cell.